# PBE LaTlW2, optimized geometry
data_LaTlW2
_space_group_name_H-M_alt 'P 1'
_space_group_IT_number 1
_cell_length_a 8.504
_cell_length_b 3.158
_cell_length_c 7.214
_cell_angle_alpha 90.00
_cell_angle_beta 97.13
_cell_angle_gamma 90.00
loop_
_space_group_symop_operation_xyz
'x,y,z'
loop_
_atom_site_label
_atom_site_fract_x
_atom_site_fract_y
_atom_site_fract_z
La1 0.000 0.000 0.000
La2 0.500 0.500 0.000
Tl1 0.261 0.500 0.332
Tl2 0.761 0.000 0.332
W1 0.007 0.500 0.579
W2 0.239 0.000 0.712
W3 0.507 0.000 0.579
W4 0.739 0.500 0.712
# Offset from the most stable computed form ... 26.4 kJ per mole of atoms
# Spin magnetization ... 0.0 μB per formula unit
# DFT formation energy ... 610 meV/atom